No. 1
Computed, not measured: crystalline Mn2ZnTe at its relaxed geometry at the PBE-GGA level of DFT.

Summary:
The calculation puts the formation energy from raw total energies at 1.1 eV per formula unit.

Structure (CIF):
```
data_Mn2ZnTe
_cell_length_a 6.107
_cell_length_b 6.107
_cell_length_c 6.107
_cell_angle_alpha 38.41
_cell_angle_beta 38.41
_cell_angle_gamma 38.41
_space_group_name_H-M_alt 'P 1'
_space_group_IT_number 1
loop_
_space_group_symop_operation_xyz
'x,y,z'
loop_
_atom_site_label
_atom_site_fract_x
_atom_site_fract_y
_atom_site_fract_z
Mn1 0.278 0.278 0.278
Mn2 0.978 0.978 0.978
Zn1 0.719 0.719 0.719
Te1 0.525 0.525 0.525
```

No. 2
Computed, not measured: crystalline MnZnTe2 at its relaxed geometry at the PBE-GGA level of DFT.

Summary:
The calculation puts the formation energy from raw total energies at 0.1 eV per formula unit.

Structure (CIF):
```
data_MnZnTe2
_cell_length_a 7.085
_cell_length_b 7.085
_cell_length_c 7.085
_cell_angle_alpha 148.82
_cell_angle_beta 148.23
_cell_angle_gamma 45.11
_space_group_name_H-M_alt 'P 1'
_space_group_IT_number 1
loop_
_space_group_symop_operation_xyz
'x,y,z'
loop_
_atom_site_label
_atom_site_fract_x
_atom_site_fract_y
_atom_site_fract_z
Mn1 0.203 0.703 0.500
Te1 0.042 0.042 0.000
Te2 0.788 0.288 0.500
Zn1 0.466 0.466 0.000
```